(1)
Entry from the Alexandria database: InHgW after structural relaxation (PBE).

```
data_InHgW
_space_group_name_H-M_alt 'I m m 2'
_space_group_IT_number 44
_space_group_name_Hall 'I 2 -2'
_cell_length_a 2.9712
_cell_length_b 3.9422
_cell_length_c 10.1782
_cell_angle_alpha 90.00
_cell_angle_beta 90.00
_cell_angle_gamma 90.00
loop_
_atom_site_label
_atom_site_type_symbol
_atom_site_fract_x
_atom_site_fract_y
_atom_site_fract_z
_atom_site_occupancy
In1 In 0.0000 0.0000 0.0000 1
Hg1 Hg 0.0000 0.0000 0.3162 1
W1 W 0.0000 0.0000 0.6550 1
```

Output
- Fermi-level density of states (states/eV/atom) = 0.7194
- spin magnetization (μB/f.u.) = 0.000
- E_tot (eV for the cell shown) = -26.84
- ΔE to the lowest computed polymorph (eV per atom) = 0.192


(2)
Entry from the Alexandria database: In2HgW2 after structural relaxation (PBE).

```
data_In2HgW2
_space_group_name_H-M_alt 'I 4/m m m'
_space_group_IT_number 139
_space_group_name_Hall '-I 4 2'
_cell_length_a 3.9762
_cell_length_b 3.9762
_cell_length_c 13.4534
_cell_angle_alpha 90.00
_cell_angle_beta 90.00
_cell_angle_gamma 90.00
loop_
_atom_site_label
_atom_site_type_symbol
_atom_site_fract_x
_atom_site_fract_y
_atom_site_fract_z
_atom_site_occupancy
In1 In 0.0000 0.5000 0.2500 1
Hg1 Hg 0.0000 0.0000 0.0000 1
W1 W 0.0000 0.0000 0.4108 1
```

Output
- Fermi-level density of states (states/eV/atom) = 0.8030
- spin magnetization (μB/f.u.) = 0.000
- E_tot (eV for the cell shown) = -52.84
- ΔE to the lowest computed polymorph (eV per atom) = 0.388


(3)
Entry from the Alexandria database: InHg2W after structural relaxation (PBE).

```
data_InHg2W
_space_group_name_H-M_alt 'F -4 3 m'
_space_group_IT_number 216
_space_group_name_Hall 'F -4 2 3'
_cell_length_a 6.9697
_cell_length_b 6.9697
_cell_length_c 6.9697
_cell_angle_alpha 90.00
_cell_angle_beta 90.00
_cell_angle_gamma 90.00
loop_
_atom_site_label
_atom_site_type_symbol
_atom_site_fract_x
_atom_site_fract_y
_atom_site_fract_z
_atom_site_occupancy
In1 In 0.0000 0.0000 0.0000 1
Hg1 Hg 0.0000 0.0000 0.5000 1
Hg2 Hg 0.2500 0.2500 0.2500 1
W1 W 0.2500 0.2500 0.7500 1
```

Output
- Fermi-level density of states (states/eV/atom) = 0.6742
- spin magnetization (μB/f.u.) = 2.289
- E_tot (eV for the cell shown) = -49.24


(4)
Entry from the Alexandria database: InHgW4 after structural relaxation (PBE).

```
data_InHgW4
_space_group_name_H-M_alt 'F -4 3 m'
_space_group_IT_number 216
_space_group_name_Hall 'F -4 2 3'
_cell_length_a 7.6554
_cell_length_b 7.6554
_cell_length_c 7.6554
_cell_angle_alpha 90.00
_cell_angle_beta 90.00
_cell_angle_gamma 90.00
loop_
_atom_site_label
_atom_site_type_symbol
_atom_site_fract_x
_atom_site_fract_y
_atom_site_fract_z
_atom_site_occupancy
In1 In 0.0000 0.0000 0.0000 1
Hg1 Hg 0.2500 0.2500 0.2500 1
W1 W 0.1242 0.1242 0.6242 1
```

Output
- Fermi-level density of states (states/eV/atom) = 1.0113
- spin magnetization (μB/f.u.) = 0.000
- E_tot (eV for the cell shown) = -201.11


(5)
Entry from the Alexandria database: In2HgW2 after structural relaxation (PBE).

```
data_In2HgW2
_space_group_name_H-M_alt 'P 4/m b m'
_space_group_IT_number 127
_space_group_name_Hall '-P 4 2ab'
_cell_length_a 7.4925
_cell_length_b 7.4925
_cell_length_c 3.6582
_cell_angle_alpha 90.00
_cell_angle_beta 90.00
_cell_angle_gamma 90.00
loop_
_atom_site_label
_atom_site_type_symbol
_atom_site_fract_x
_atom_site_fract_y
_atom_site_fract_z
_atom_site_occupancy
In1 In 0.1765 0.3235 0.0000 1
Hg1 Hg 0.0000 0.0000 0.5000 1
W1 W 0.1165 0.6165 0.5000 1
```

Output
- Fermi-level density of states (states/eV/atom) = 0.3454
- spin magnetization (μB/f.u.) = 0.000
- E_tot (eV for the cell shown) = -56.72
- ΔE to the lowest computed polymorph (eV per atom) = 0.000


(6)
Entry from the Alexandria database: InHg2W after structural relaxation (PBE).

```
data_InHg2W
_space_group_name_H-M_alt 'R -3 m'
_space_group_IT_number 166
_space_group_name_Hall '-R 3 2"'
_cell_length_a 3.1161
_cell_length_b 3.1161
_cell_length_c 29.5064
_cell_angle_alpha 90.00
_cell_angle_beta 90.00
_cell_angle_gamma 120.00
loop_
_atom_site_label
_atom_site_type_symbol
_atom_site_fract_x
_atom_site_fract_y
_atom_site_fract_z
_atom_site_occupancy
In1 In 0.0000 0.0000 0.0000 1
Hg1 Hg 0.0000 0.0000 0.2453 1
W1 W 0.0000 0.0000 0.5000 1
```

Output
- Fermi-level density of states (states/eV/atom) = 0.6209
- spin magnetization (μB/f.u.) = 0.000
- E_tot (eV for the cell shown) = -41.75


(7)
Entry from the Alexandria database: InHg2W after structural relaxation (PBE).

```
data_InHg2W
_space_group_name_H-M_alt 'I -4 m 2'
_space_group_IT_number 119
_space_group_name_Hall 'I -4 -2'
_cell_length_a 4.1251
_cell_length_b 4.1251
_cell_length_c 9.5322
_cell_angle_alpha 90.00
_cell_angle_beta 90.00
_cell_angle_gamma 90.00
loop_
_atom_site_label
_atom_site_type_symbol
_atom_site_fract_x
_atom_site_fract_y
_atom_site_fract_z
_atom_site_occupancy
In1 In 0.0000 0.0000 0.0000 1
Hg1 Hg 0.0000 0.0000 0.5000 1
Hg2 Hg 0.0000 0.5000 0.2500 1
W1 W 0.0000 0.5000 0.7500 1
```

Output
- Fermi-level density of states (states/eV/atom) = 0.7204
- spin magnetization (μB/f.u.) = 0.561
- E_tot (eV for the cell shown) = -26.39


(8)
Entry from the Alexandria database: InHg2W after structural relaxation (PBE).

```
data_InHg2W
_space_group_name_H-M_alt 'C 1 2/m 1'
_space_group_IT_number 12
_space_group_name_Hall '-C 2y'
_cell_length_a 5.9463
_cell_length_b 10.4699
_cell_length_c 3.0146
_cell_angle_alpha 90.00
_cell_angle_beta 118.42
_cell_angle_gamma 90.00
loop_
_atom_site_label
_atom_site_type_symbol
_atom_site_fract_x
_atom_site_fract_y
_atom_site_fract_z
_atom_site_occupancy
In1 In 0.0000 0.0000 0.0000 1
Hg1 Hg 0.2500 0.2500 0.0000 1
W1 W 0.0000 0.5000 0.0000 1
```

Output
- Fermi-level density of states (states/eV/atom) = 0.4251
- spin magnetization (μB/f.u.) = 0.000
- E_tot (eV for the cell shown) = -27.49


(9)
Entry from the Alexandria database: InHgW after structural relaxation (PBE).

```
data_InHgW
_space_group_name_H-M_alt 'I 4 m m'
_space_group_IT_number 107
_space_group_name_Hall 'I 4 -2'
_cell_length_a 2.9126
_cell_length_b 2.9126
_cell_length_c 14.3077
_cell_angle_alpha 90.00
_cell_angle_beta 90.00
_cell_angle_gamma 90.00
loop_
_atom_site_label
_atom_site_type_symbol
_atom_site_fract_x
_atom_site_fract_y
_atom_site_fract_z
_atom_site_occupancy
In1 In 0.0000 0.0000 0.0000 1
Hg1 Hg 0.0000 0.0000 0.3099 1
W1 W 0.0000 0.0000 0.6550 1
```

Output
- Fermi-level density of states (states/eV/atom) = 1.0506
- spin magnetization (μB/f.u.) = 0.000
- E_tot (eV for the cell shown) = -27.43
- ΔE to the lowest computed polymorph (eV per atom) = 0.095


(10)
Entry from the Alexandria database: In3HgW after structural relaxation (PBE).

```
data_In3HgW
_space_group_name_H-M_alt 'P m -3 m'
_space_group_IT_number 221
_space_group_name_Hall '-P 4 2 3'
_cell_length_a 5.3756
_cell_length_b 5.3756
_cell_length_c 5.3756
_cell_angle_alpha 90.00
_cell_angle_beta 90.00
_cell_angle_gamma 90.00
loop_
_atom_site_label
_atom_site_type_symbol
_atom_site_fract_x
_atom_site_fract_y
_atom_site_fract_z
_atom_site_occupancy
In1 In 0.0000 0.0000 0.5000 1
Hg1 Hg 0.5000 0.5000 0.5000 1
W1 W 0.0000 0.0000 0.0000 1
```

Output
- Fermi-level density of states (states/eV/atom) = 0.8798
- spin magnetization (μB/f.u.) = 0.000
- E_tot (eV for the cell shown) = -18.13
- ΔE to the lowest computed polymorph (eV per atom) = 0.000


(11)
Entry from the Alexandria database: InHgW after structural relaxation (PBE).

```
data_InHgW
_space_group_name_H-M_alt 'P 3 m 1'
_space_group_IT_number 156
_space_group_name_Hall 'P 3 -2"'
_cell_length_a 3.0341
_cell_length_b 3.0341
_cell_length_c 7.4873
_cell_angle_alpha 90.00
_cell_angle_beta 90.00
_cell_angle_gamma 120.00
loop_
_atom_site_label
_atom_site_type_symbol
_atom_site_fract_x
_atom_site_fract_y
_atom_site_fract_z
_atom_site_occupancy
In1 In 0.0000 0.0000 0.0000 1
Hg1 Hg 0.3333 0.6667 0.6410 1
W1 W 0.6667 0.3333 0.3185 1
```

Output
- Fermi-level density of states (states/eV/atom) = 0.7684
- spin magnetization (μB/f.u.) = 0.000
- E_tot (eV for the cell shown) = -14.00
- ΔE to the lowest computed polymorph (eV per atom) = 0.000


(12)
Entry from the Alexandria database: InHg2W after structural relaxation (PBE).

```
data_InHg2W
_space_group_name_H-M_alt 'C 1 2/m 1'
_space_group_IT_number 12
_space_group_name_Hall '-C 2y'
_cell_length_a 15.0612
_cell_length_b 2.8881
_cell_length_c 4.9437
_cell_angle_alpha 90.00
_cell_angle_beta 90.09
_cell_angle_gamma 90.00
loop_
_atom_site_label
_atom_site_type_symbol
_atom_site_fract_x
_atom_site_fract_y
_atom_site_fract_z
_atom_site_occupancy
In1 In 0.0000 0.0000 0.0000 1
Hg1 Hg 0.1642 0.0000 0.5003 1
W1 W 0.0000 0.5000 0.5000 1
```

Output
- Fermi-level density of states (states/eV/atom) = 0.4924
- spin magnetization (μB/f.u.) = 0.308
- E_tot (eV for the cell shown) = -28.73


(13)
Entry from the Alexandria database: InHg2W after structural relaxation (PBE).

```
data_InHg2W
_space_group_name_H-M_alt 'I -4 2 d'
_space_group_IT_number 122
_space_group_name_Hall 'I -4 2bw'
_cell_length_a 4.1280
_cell_length_b 4.1280
_cell_length_c 20.9556
_cell_angle_alpha 90.00
_cell_angle_beta 90.00
_cell_angle_gamma 90.00
loop_
_atom_site_label
_atom_site_type_symbol
_atom_site_fract_x
_atom_site_fract_y
_atom_site_fract_z
_atom_site_occupancy
In1 In 0.0000 0.0000 0.0000 1
Hg1 Hg 0.2343 0.2500 0.6250 1
W1 W 0.0000 0.0000 0.5000 1
```

Output
- Fermi-level density of states (states/eV/atom) = 0.4774
- spin magnetization (μB/f.u.) = 0.982
- E_tot (eV for the cell shown) = -50.65


(14)
Entry from the Alexandria database: In2HgW2 after structural relaxation (PBE).

```
data_In2HgW2
_space_group_name_H-M_alt 'I 4/m m m'
_space_group_IT_number 139
_space_group_name_Hall '-I 4 2'
_cell_length_a 3.7681
_cell_length_b 3.7681
_cell_length_c 15.4123
_cell_angle_alpha 90.00
_cell_angle_beta 90.00
_cell_angle_gamma 90.00
loop_
_atom_site_label
_atom_site_type_symbol
_atom_site_fract_x
_atom_site_fract_y
_atom_site_fract_z
_atom_site_occupancy
In1 In 0.0000 0.0000 0.1030 1
Hg1 Hg 0.0000 0.0000 0.5000 1
W1 W 0.0000 0.5000 0.2500 1
```

Output
- Fermi-level density of states (states/eV/atom) = 0.6719
- spin magnetization (μB/f.u.) = 0.000
- E_tot (eV for the cell shown) = -56.17
- ΔE to the lowest computed polymorph (eV per atom) = 0.055


(15)
Entry from the Alexandria database: InHg2W after structural relaxation (PBE).

```
data_InHg2W
_space_group_name_H-M_alt 'P m m 2'
_space_group_IT_number 25
_space_group_name_Hall 'P 2 -2'
_cell_length_a 2.9750
_cell_length_b 5.0237
_cell_length_c 5.4400
_cell_angle_alpha 90.00
_cell_angle_beta 90.00
_cell_angle_gamma 90.00
loop_
_atom_site_label
_atom_site_type_symbol
_atom_site_fract_x
_atom_site_fract_y
_atom_site_fract_z
_atom_site_occupancy
In1 In 0.0000 0.0000 0.0000 1
Hg1 Hg 0.0000 0.5000 0.3616 1
Hg2 Hg 0.5000 0.0000 0.5246 1
W1 W 0.5000 0.5000 0.8616 1
```

Output
- Fermi-level density of states (states/eV/atom) = 0.7024
- spin magnetization (μB/f.u.) = 0.001
- E_tot (eV for the cell shown) = -13.66


(16)
Entry from the Alexandria database: InHg2W after structural relaxation (PBE).

```
data_InHg2W
_space_group_name_H-M_alt 'P 4/m m m'
_space_group_IT_number 123
_space_group_name_Hall '-P 4 2'
_cell_length_a 5.3211
_cell_length_b 5.3211
_cell_length_c 2.9483
_cell_angle_alpha 90.00
_cell_angle_beta 90.00
_cell_angle_gamma 90.00
loop_
_atom_site_label
_atom_site_type_symbol
_atom_site_fract_x
_atom_site_fract_y
_atom_site_fract_z
_atom_site_occupancy
In1 In 0.0000 0.0000 0.0000 1
Hg1 Hg 0.0000 0.5000 0.5000 1
W1 W 0.5000 0.5000 0.0000 1
```

Output
- Fermi-level density of states (states/eV/atom) = 0.6546
- spin magnetization (μB/f.u.) = 0.862
- E_tot (eV for the cell shown) = -13.28


(17)
Entry from the Alexandria database: InHgW after structural relaxation (PBE).

```
data_InHgW
_space_group_name_H-M_alt 'F m m 2'
_space_group_IT_number 42
_space_group_name_Hall 'F 2 -2'
_cell_length_a 3.2519
_cell_length_b 5.0234
_cell_length_c 14.7407
_cell_angle_alpha 90.00
_cell_angle_beta 90.00
_cell_angle_gamma 90.00
loop_
_atom_site_label
_atom_site_type_symbol
_atom_site_fract_x
_atom_site_fract_y
_atom_site_fract_z
_atom_site_occupancy
In1 In 0.0000 0.0000 0.0000 1
Hg1 Hg 0.0000 0.0000 0.6784 1
W1 W 0.0000 0.0000 0.3408 1
```

Output
- Fermi-level density of states (states/eV/atom) = 0.7226
- spin magnetization (μB/f.u.) = 0.000
- E_tot (eV for the cell shown) = -55.07
- ΔE to the lowest computed polymorph (eV per atom) = 0.076


(18)
Entry from the Alexandria database: InHg2W after structural relaxation (PBE).

```
data_InHg2W
_space_group_name_H-M_alt 'P m m m'
_space_group_IT_number 47
_space_group_name_Hall '-P 2 2'
_cell_length_a 3.0613
_cell_length_b 4.4610
_cell_length_c 6.0064
_cell_angle_alpha 90.00
_cell_angle_beta 90.00
_cell_angle_gamma 90.00
loop_
_atom_site_label
_atom_site_type_symbol
_atom_site_fract_x
_atom_site_fract_y
_atom_site_fract_z
_atom_site_occupancy
In1 In 0.0000 0.0000 0.0000 1
Hg1 Hg 0.5000 0.5000 0.2657 1
W1 W 0.0000 0.0000 0.5000 1
```

Output
- Fermi-level density of states (states/eV/atom) = 0.8838
- spin magnetization (μB/f.u.) = 0.279
- E_tot (eV for the cell shown) = -13.22


(19)
Entry from the Alexandria database: In2Hg2W after structural relaxation (PBE).

```
data_In2Hg2W
_space_group_name_H-M_alt 'P 4/m b m'
_space_group_IT_number 127
_space_group_name_Hall '-P 4 2ab'
_cell_length_a 7.4931
_cell_length_b 7.4931
_cell_length_c 4.0305
_cell_angle_alpha 90.00
_cell_angle_beta 90.00
_cell_angle_gamma 90.00
loop_
_atom_site_label
_atom_site_type_symbol
_atom_site_fract_x
_atom_site_fract_y
_atom_site_fract_z
_atom_site_occupancy
In1 In 0.1696 0.3304 0.0000 1
Hg1 Hg 0.1395 0.6395 0.5000 1
W1 W 0.0000 0.0000 0.5000 1
```

Output
- Fermi-level density of states (states/eV/atom) = 0.7799
- spin magnetization (μB/f.u.) = 1.540
- E_tot (eV for the cell shown) = -29.45
- ΔE to the lowest computed polymorph (eV per atom) = 0.000


(20)
Entry from the Alexandria database: InHg2W after structural relaxation (PBE).

```
data_InHg2W
_space_group_name_H-M_alt 'P 4/m m m'
_space_group_IT_number 123
_space_group_name_Hall '-P 4 2'
_cell_length_a 2.9602
_cell_length_b 2.9602
_cell_length_c 9.7331
_cell_angle_alpha 90.00
_cell_angle_beta 90.00
_cell_angle_gamma 90.00
loop_
_atom_site_label
_atom_site_type_symbol
_atom_site_fract_x
_atom_site_fract_y
_atom_site_fract_z
_atom_site_occupancy
In1 In 0.0000 0.0000 0.0000 1
Hg1 Hg 0.5000 0.5000 0.2796 1
W1 W 0.0000 0.0000 0.5000 1
```

Output
- Fermi-level density of states (states/eV/atom) = 0.5873
- spin magnetization (μB/f.u.) = 0.000
- E_tot (eV for the cell shown) = -13.70